# Tb2ScPd, optimized geometry, DFT PBE-GGA
data_Tb2ScPd
_chemical_formula_sum 'Tb2 Sc1 Pd1'
_symmetry_space_group_name_H-M 'P 1'
_symmetry_Int_Tables_number 1
_cell_length_a 3.611
_cell_length_b 3.611
_cell_length_c 7.668
_cell_angle_alpha 90.00
_cell_angle_beta 90.00
_cell_angle_gamma 90.00
loop_
_symmetry_equiv_pos_as_xyz
'x,y,z'
loop_
_atom_site_label
_atom_site_fract_x
_atom_site_fract_y
_atom_site_fract_z
Pd1 0.500 0.500 0.000
Tb1 0.000 0.000 0.218
Tb2 0.000 0.000 0.782
Sc1 0.500 0.500 0.500
# Energy (eV per atom): -5.583
# Relative energy among the computed polymorphs (meV per atom): 7
# Formation energy (meV per atom): -387